DFT (GGA+U) results for a relaxed structure of BiMoNF2.

The structure in extended XYZ format:
```
5
Lattice="4.2300 0.0000 0.0000 0.0000 4.2300 0.0000 0.0000 0.0000 4.3457" Properties=species:S:1:pos:R:3 pbc="T T T"
Bi 0.0000 0.0000 0.0000
Mo 2.1150 2.1150 2.1728
N 2.1150 2.1150 0.0000
F 0.0000 2.1150 2.1728
F 2.1150 0.0000 2.1728
```

## Properties
E above lowest polymorph: 0.0 meV/atom